Record 1
{"formula": "CaNbIr2", "functional": "PBE", "state": "optimized geometry", "lattice": [[-0.624, -3.645, 2.797], [-4.052, -0.585, 2.176], [-2.839, -3.439, -1.271]], "species": ["Ir", "Ca", "Nb", "Ir"], "fractional_positions": [[0.750, 0.750, 0.750], [0.000, 0.000, 0.000], [0.500, 0.500, 0.500], [0.250, 0.250, 0.250]], "spacegroup": "No. 225", "formation_enthalpy_0k_kj_per_mol_fu": -72, "e_above_lowest_polymorph_mev_per_atom": 202}

***

Record 2
{"formula": "Rb2NpSc2Se6", "functional": "PBE", "state": "optimized geometry", "lattice": [[-1.790, -6.741, -0.261], [6.016, 2.153, -2.810], [2.384, 0.246, 8.159]], "species": ["Se", "Se", "Se", "Se", "Rb", "Rb", "Sc", "Sc", "Se", "Se", "Np"], "fractional_positions": [[0.719, 0.719, 0.686], [0.403, 0.062, 0.686], [0.938, 0.597, 0.314], [0.062, 0.403, 0.686], [0.166, 0.834, 0.000], [0.834, 0.166, 0.000], [0.333, 0.667, 0.500], [0.667, 0.333, 0.500], [0.597, 0.938, 0.314], [0.281, 0.281, 0.314], [0.000, 0.000, 0.500]], "spacegroup": "No. 12", "e_form_raw_ev_per_fu": -16.3}

***

Record 3
{"formula": "La2Sb4IrPd3", "functional": "PBE", "state": "optimized geometry", "lattice": [[4.679, 0.000, 0.000], [0.000, 4.679, 0.000], [0.000, 0.000, 10.544]], "species": ["Pd", "Sb", "Sb", "La", "Sb", "Ir", "Pd", "Pd", "Sb", "La"], "fractional_positions": [[0.500, 0.000, 0.873], [0.500, 0.500, 0.000], [0.000, 0.500, 0.375], [0.000, 0.500, 0.737], [0.000, 0.000, 0.000], [0.500, 0.500, 0.500], [0.000, 0.500, 0.127], [0.000, 0.000, 0.500], [0.500, 0.000, 0.625], [0.500, 0.000, 0.263]], "spacegroup": "No. 115", "e_form_raw_ev_per_fu": -8.0}

***

Record 4
{"formula": "SmPu5Sb6", "functional": "PBE", "state": "optimized geometry", "lattice": [[7.577, 0.216, 1.168], [1.825, 6.450, 3.754], [0.109, 0.077, 7.676]], "species": ["Pu", "Sb", "Sb", "Pu", "Sb", "Sb", "Pu", "Sm", "Pu", "Sb", "Pu", "Sb"], "fractional_positions": [[0.000, 0.333, 0.334], [0.748, 0.084, 0.336], [0.252, 0.916, 0.664], [0.000, 0.667, 0.666], [0.749, 0.747, 0.000], [0.251, 0.253, 0.000], [0.500, 0.835, 0.331], [0.000, 0.000, 0.000], [0.500, 0.500, 0.000], [0.252, 0.580, 0.336], [0.500, 0.165, 0.669], [0.748, 0.420, 0.664]], "spacegroup": "No. 12", "e_form_raw_ev_per_fu": -8.1}

***

Number 1: D(E_F) 4.52 states/eV/cell, total magnetization 0.000 μB/atom, total energy -7.6357 eV/atom. Number 2: D(E_F) 5.01 states/eV/cell, total magnetization 0.273 μB/atom, total energy -5.8834 eV/atom. Number 3: D(E_F) 5.22 states/eV/cell, total magnetization 0.000 μB/atom, total energy -5.8802 eV/atom. Number 4: D(E_F) 69.45 states/eV/cell, total magnetization 0.440 μB/atom, total energy -9.1033 eV/atom.